A geometry-optimized DyHo3Ir structure. Source: Alexandria, functional PBE.

Output
ΔE to the lowest computed polymorph (eV per atom): 0.084
Formation enthalpy at 0 K (meV/atom): -261
Total magnetic moment (Bohr magnetons per cell): 0.0
Total DFT energy (no corrections) (eV/atom): -5.700

Geometry as POSCAR:
```
DyHo3Ir
1.0
5.4032 0.0000 0.0000
0.0000 5.4032 0.0000
0.0000 0.0000 5.4032
Dy Ho Ir
1 3 1
direct
0.0000 0.0000 0.0000
0.0000 0.5000 0.5000
0.5000 0.0000 0.5000
0.5000 0.5000 0.0000
0.5000 0.5000 0.5000
```

---

A geometry-optimized Dy3Ho4Ir4 structure. Source: Alexandria, functional PBE.

Output
Formation enthalpy at 0 K (meV/atom): -690
Total magnetic moment (Bohr magnetons per cell): 0.0
Total DFT energy (no corrections) (eV/atom): -6.832

Geometry as POSCAR:
```
Dy3Ho4Ir4
1.0
-1.9121 4.3097 7.9440
1.9121 -4.3097 7.9440
1.9121 4.3097 -7.9440
Dy Ho Ir
3 4 4
direct
0.0000 0.0000 0.0000
0.3994 0.8994 0.5000
0.6006 0.1006 0.5000
0.0232 0.3329 0.6902
0.3573 0.6671 0.6902
0.6427 0.3329 0.3098
0.9768 0.6671 0.3098
0.2491 0.2491 0.0000
0.2867 0.5000 0.7867
0.7133 0.5000 0.2133
0.7509 0.7509 0.0000
```

---

A geometry-optimized DyHo2Ir structure. Source: Alexandria, functional PBE.

Output
ΔE to the lowest computed polymorph (eV per atom): 0.183
Formation enthalpy at 0 K (meV/atom): -410
Total magnetic moment (Bohr magnetons per cell): 0.0
Total DFT energy (no corrections) (eV/atom): -6.065

Geometry as POSCAR:
```
DyHo2Ir
1.0
3.4695 0.0000 0.0000
0.0000 3.4695 0.0000
0.0000 0.0000 8.7312
Dy Ho Ir
1 2 1
direct
0.0000 0.0000 0.0000
0.5000 0.5000 0.3138
0.5000 0.5000 0.6862
0.0000 0.0000 0.5000
```

---

A geometry-optimized Dy4HoIr5 structure. Source: Alexandria, functional PBE.

Output
Formation enthalpy at 0 K (meV/atom): -813
Total magnetic moment (Bohr magnetons per cell): 0.0
Total DFT energy (no corrections) (eV/atom): -7.542

Geometry as POSCAR:
```
Dy4HoIr5
1.0
3.3508 0.0000 0.0000
0.0000 3.3508 0.0000
0.0000 0.0000 17.8419
Dy Ho Ir
4 1 5
direct
0.0000 0.0000 0.1002
0.0000 0.0000 0.3006
0.0000 0.0000 0.6994
0.0000 0.0000 0.8998
0.0000 0.0000 0.5000
0.5000 0.5000 0.0000
0.5000 0.5000 0.2004
0.5000 0.5000 0.4010
0.5000 0.5000 0.5990
0.5000 0.5000 0.7996
```

---

A geometry-optimized DyHo3Ir3 structure. Source: Alexandria, functional PBE.

Output
ΔE to the lowest computed polymorph (eV per atom): 0.019
Formation enthalpy at 0 K (meV/atom): -733
Total magnetic moment (Bohr magnetons per cell): 0.0
Total DFT energy (no corrections) (eV/atom): -7.150

Geometry as POSCAR:
```
DyHo3Ir3
1.0
4.9143 -4.9399 0.0000
4.9143 4.9399 0.0000
0.0000 0.0000 6.5741
Dy Ho Ir
2 6 6
direct
0.2476 0.2476 0.0000
0.7524 0.7524 0.0000
0.2427 0.7573 0.0000
0.2450 0.2450 0.5000
0.2446 0.7554 0.5000
0.7554 0.2446 0.5000
0.7550 0.7550 0.5000
0.7573 0.2427 0.0000
0.0000 0.0000 0.2501
0.0000 0.0000 0.7499
0.0000 0.5000 0.2509
0.0000 0.5000 0.7491
0.5000 0.0000 0.2509
0.5000 0.0000 0.7491
```

---

A geometry-optimized Dy3Ho2Ir2 structure. Source: Alexandria, functional PBE.

Output
Formation enthalpy at 0 K (meV/atom): -636
Total magnetic moment (Bohr magnetons per cell): 0.0
Total DFT energy (no corrections) (eV/atom): -6.448

Geometry as POSCAR:
```
Dy3Ho2Ir2
1.0
5.9955 -1.9231 0.0000
5.9955 1.9231 0.0000
-3.8421 0.0000 7.9152
Dy Ho Ir
3 2 2
direct
0.0000 0.0000 0.0000
0.1184 0.1184 0.4308
0.8816 0.8816 0.5692
0.3322 0.3322 0.1915
0.6678 0.6678 0.8085
0.3218 0.3218 0.7644
0.6782 0.6782 0.2356
```

---

A geometry-optimized Dy3HoIr4 structure. Source: Alexandria, functional PBE.

Output
Formation enthalpy at 0 K (meV/atom): -828
Total magnetic moment (Bohr magnetons per cell): 0.0
Total DFT energy (no corrections) (eV/atom): -7.556

Geometry as POSCAR:
```
Dy3HoIr4
1.0
3.5791 0.0000 0.0000
0.0000 4.7290 0.0000
0.0000 0.0000 9.4580
Dy Ho Ir
3 1 4
direct
0.0000 0.0000 0.0000
0.0000 0.5000 0.2505
0.0000 0.5000 0.7495
0.0000 0.0000 0.5000
0.5000 0.0000 0.2509
0.5000 0.0000 0.7491
0.5000 0.5000 0.0000
0.5000 0.5000 0.5000
```

---

A geometry-optimized DyHoIr4 structure. Source: Alexandria, functional PBE.

Output
Formation enthalpy at 0 K (meV/atom): -816
Total magnetic moment (Bohr magnetons per cell): 0.0
Total DFT energy (no corrections) (eV/atom): -8.253

Geometry as POSCAR:
```
DyHoIr4
1.0
0.0000 3.7862 3.7862
3.7862 0.0000 3.7862
3.7862 3.7862 0.0000
Dy Ho Ir
1 1 4
direct
0.0000 0.0000 0.0000
0.7500 0.7500 0.7500
0.3750 0.3750 0.3750
0.3750 0.3750 0.8750
0.3750 0.8750 0.3750
0.8750 0.3750 0.3750
```

---

A geometry-optimized DyHoMgIr structure. Source: Alexandria, functional PBE.

Output
Formation enthalpy at 0 K (meV/atom): -463
Total magnetic moment (Bohr magnetons per cell): 0.0
Total DFT energy (no corrections) (eV/atom): -5.372

Geometry as POSCAR:
```
DyHoMgIr
1.0
0.0000 3.5453 3.5453
3.5453 0.0000 3.5453
3.5453 3.5453 0.0000
Dy Ho Mg Ir
1 1 1 1
direct
0.0000 0.0000 0.0000
0.5000 0.5000 0.5000
0.2500 0.2500 0.2500
0.7500 0.7500 0.7500
```

---

A geometry-optimized DyHoMnIr structure. Source: Alexandria, functional PBE.

Output
Formation enthalpy at 0 K (meV/atom): -315
Total magnetic moment (Bohr magnetons per cell): 3.3
Total DFT energy (no corrections) (eV/atom): -7.117

Geometry as POSCAR:
```
DyHoMnIr
1.0
0.0000 3.4627 3.4627
3.4627 0.0000 3.4627
3.4627 3.4627 0.0000
Dy Ho Mn Ir
1 1 1 1
direct
0.0000 0.0000 0.0000
0.5000 0.5000 0.5000
0.7500 0.7500 0.7500
0.2500 0.2500 0.2500
```

---

A geometry-optimized DyHo2IrO8 structure. Source: Alexandria, functional PBE.

Output
Formation energy (no corrections) (meV/atom): -2374
Total magnetic moment (Bohr magnetons per cell): 1.6
Total DFT energy (no corrections) (eV/atom): -7.564

Geometry as POSCAR:
```
DyHo2IrO8
1.0
3.5368 -3.5688 0.0000
3.5368 3.5688 0.0000
0.0000 0.0000 6.7590
Dy Ho Ir O
1 2 1 8
direct
0.0000 0.0000 0.0000
0.5000 0.5000 0.2477
0.5000 0.5000 0.7523
0.0000 0.0000 0.5000
0.1843 0.8157 0.2889
0.1843 0.8157 0.7111
0.2697 0.2697 0.5000
0.3084 0.3084 0.0000
0.6916 0.6916 0.0000
0.7303 0.7303 0.5000
0.8157 0.1843 0.2889
0.8157 0.1843 0.7111
```

---

A geometry-optimized DyHoP2Ir5 structure. Source: Alexandria, functional PBE.

Output
Formation enthalpy at 0 K (meV/atom): -611
Total magnetic moment (Bohr magnetons per cell): 0.0
Total DFT energy (no corrections) (eV/atom): -7.756

Geometry as POSCAR:
```
DyHoP2Ir5
1.0
3.9987 0.0000 0.0000
0.0000 3.9987 0.0000
0.0000 0.0000 11.0705
Dy Ho P Ir
1 1 2 5
direct
0.0000 0.0000 0.0000
0.0000 0.0000 0.5000
0.5000 0.5000 0.2058
0.5000 0.5000 0.7942
0.0000 0.5000 0.3046
0.0000 0.5000 0.6954
0.5000 0.0000 0.3046
0.5000 0.0000 0.6954
0.5000 0.5000 0.0000
```